SrPuPaN3 | the Alexandria database | GGA-PBE | relaxed; energy relative to the elements, uncorrected = -0.98 eV per atom; raw total energy = -56.4 eV per formula unit
1.0
-0.9606 3.5055 0.5530
-3.3496 0.1031 -6.4728
-6.7382 -2.6784 5.2737
Sr Pu Pa N
2 2 2 6
Direct
0.7500 0.8320 0.8431
0.2500 0.1680 0.1569
0.2500 0.0457 0.5789
0.7500 0.9543 0.4211
0.2500 0.6531 0.1461
0.7500 0.3469 0.8539
0.2500 0.7717 0.3870
0.7500 0.8706 0.1570
0.7500 0.4304 0.1055
0.7500 0.2283 0.6130
0.2500 0.5696 0.8945
0.2500 0.1294 0.8430


Pu3Pa3TaN8 | the Alexandria database | GGA-PBE | relaxed; energy relative to the elements, uncorrected = -1.35 eV per atom; raw total energy = -170.2 eV per formula unit
1.0
6.8765 0.0000 0.0001
-3.4382 5.9552 -0.0204
-0.0002 -3.9507 5.6183
Pu Pa Ta N
3 3 1 8
Direct
0.0000 0.0000 0.0000
0.0000 0.5000 0.0000
0.5000 0.5000 0.0000
0.5000 0.0000 0.5000
0.5000 0.5000 0.5000
0.0000 0.5000 0.5000
0.0000 0.0000 0.5000
0.2535 0.5070 0.2604
0.7465 0.4930 0.7396
0.7769 0.5539 0.2873
0.2231 0.4461 0.7127
0.7769 0.0104 0.2873
0.2231 0.9896 0.7127
0.2335 0.0104 0.2873
0.7665 0.9896 0.7127


Pu2PaTaN6 | the Alexandria database | GGA-PBE | relaxed; energy relative to the elements, uncorrected = -1.17 eV per atom; raw total energy = -111.7 eV per formula unit
1.0
-1.2205 -2.1131 -5.2426
0.4153 -5.6811 -0.9961
-4.9314 -3.1697 -0.7637
Pu Pa Ta N
2 1 1 6
Direct
0.5280 0.5280 0.4160
0.0283 0.0283 0.9151
0.8057 0.8057 0.5828
0.3093 0.3093 0.0722
0.5959 0.1878 0.2514
0.1878 0.9648 0.2514
0.9648 0.5959 0.2514
0.4246 0.6879 0.7583
0.6879 0.1292 0.7583
0.1292 0.4246 0.7583


Pu2PaTaN4 | the Alexandria database | GGA-PBE | relaxed; energy relative to the elements, uncorrected = -1.34 eV per atom; raw total energy = -94.0 eV per formula unit
1.0
3.3606 0.0000 0.0000
0.0000 5.8988 0.1549
0.0000 -2.0071 5.4929
Pu Pa Ta N
2 1 1 4
Direct
0.5000 0.0000 0.5000
0.0000 0.5000 0.5000
0.5000 0.5000 0.0000
0.0000 0.0000 0.0000
0.5000 0.2210 0.2172
0.5000 0.7790 0.7828
0.0000 0.2329 0.7717
0.0000 0.7671 0.2283


Tb2PuPaN6 | the Alexandria database | GGA-PBE | relaxed; energy relative to the elements, uncorrected = -1.27 eV per atom; raw total energy = -95.7 eV per formula unit
1.0
5.8864 0.0001 0.0002
2.9432 5.0977 0.0000
2.9431 1.6994 4.8750
Tb Pu Pa N
2 1 1 6
Direct
0.5416 0.5416 0.3753
0.0378 0.0378 0.8866
0.3167 0.3167 0.0500
0.8120 0.8120 0.5640
0.5882 0.1782 0.2668
0.1782 0.9667 0.2668
0.9667 0.5882 0.2669
0.4436 0.6650 0.7796
0.6650 0.1117 0.7796
0.1117 0.4436 0.7796


TbPu3Pa2N6 | the Alexandria database | GGA-PBE | relaxed; energy relative to the elements, uncorrected = -1.47 eV per atom; raw total energy = -134.2 eV per formula unit
1.0
-0.4371 -4.1154 -4.4457
5.4072 2.3795 1.4113
-0.8050 -3.6030 4.7987
Tb Pu Pa N
1 3 2 6
Direct
0.0000 0.0000 0.0000
0.1645 0.8355 0.5000
0.8355 0.1645 0.5000
0.5000 0.5000 0.5000
0.3331 0.6669 0.0000
0.6669 0.3331 0.0000
0.9202 0.5779 0.7614
0.7369 0.7369 0.2377
0.0798 0.4221 0.2386
0.5779 0.9202 0.7614
0.2631 0.2631 0.7623
0.4221 0.0798 0.2386


Tb3Pu2PaN6 | the Alexandria database | GGA-PBE | relaxed; energy relative to the elements, uncorrected = -1.54 eV per atom; raw total energy = -120.4 eV per formula unit
1.0
6.0597 0.0000 -0.0005
-3.0284 5.2487 -0.0005
-1.0116 -1.7516 5.6995
Tb Pu Pa N
3 2 1 6
Direct
0.1683 0.8317 0.5000
0.8317 0.1683 0.5000
0.5000 0.5000 0.5000
0.3337 0.6663 0.0000
0.6663 0.3337 0.0000
0.0000 0.0000 0.0000
0.9200 0.5951 0.7594
0.7543 0.7543 0.2392
0.0800 0.4049 0.2406
0.5951 0.9200 0.7594
0.2457 0.2457 0.7608
0.4049 0.0800 0.2406


TbPuPa2N4 | the Alexandria database | GGA-PBE | relaxed; energy relative to the elements, uncorrected = -1.56 eV per atom; raw total energy = -83.7 eV per formula unit
1.0
3.5064 0.0000 0.0000
0.0000 6.0959 0.1043
0.0000 -2.1304 5.6546
Tb Pu Pa N
1 1 2 4
Direct
0.5000 0.5000 0.0000
0.0000 0.0000 0.0000
0.5000 0.0000 0.5000
0.0000 0.5000 0.5000
0.5000 0.2588 0.2650
0.5000 0.7412 0.7350
0.0000 0.2481 0.7349
0.0000 0.7519 0.2651


Tb2PuPaN4 | the Alexandria database | GGA-PBE | relaxed; energy relative to the elements, uncorrected = -1.57 eV per atom; raw total energy = -78.9 eV per formula unit
1.0
3.5076 0.0000 0.0000
0.0000 6.0480 0.0966
0.0000 -2.1233 5.6699
Tb Pu Pa N
2 1 1 4
Direct
0.5000 0.0000 0.5000
0.0000 0.5000 0.5000
0.0000 0.0000 0.0000
0.5000 0.5000 0.0000
0.5000 0.2540 0.2386
0.5000 0.7460 0.7614
0.0000 0.2623 0.7602
0.0000 0.7377 0.2398


PuPa2TcN5 | the Alexandria database | GGA-PBE | relaxed; energy relative to the elements, uncorrected = -1.09 eV per atom; raw total energy = -95.1 eV per formula unit
1.0
6.5281 0.0000 0.0000
0.0000 6.5281 0.0000
-3.2640 -3.2640 5.7831
Pu Pa Tc N
2 4 2 10
Direct
0.2500 0.2500 0.5000
0.7500 0.7500 0.5000
0.1748 0.3252 0.0000
0.6748 0.1748 0.0000
0.3252 0.8252 0.0000
0.8252 0.6748 0.0000
0.2500 0.7500 0.5000
0.7500 0.2500 0.5000
0.9812 0.4812 0.2692
0.7121 0.2121 0.7308
0.0188 0.5188 0.7308
0.2121 0.0188 0.7308
0.5188 0.7121 0.7308
0.7879 0.9812 0.2692
0.4812 0.2879 0.2692
0.2879 0.7879 0.2692
0.5000 0.5000 0.0000
0.0000 0.0000 0.0000


Pu2PaTe2N2 | the Alexandria database | GGA-PBE | relaxed; energy relative to the elements, uncorrected = -1.20 eV per atom; raw total energy = -69.5 eV per formula unit
1.0
-1.7788 -4.0016 0.5461
3.8680 -1.5163 1.4881
-3.1986 4.7585 6.6193
Pu Pa Te N
2 1 2 2
Direct
0.3925 0.3925 0.7850
0.6075 0.6075 0.2150
0.0000 0.0000 0.0000
0.1866 0.1866 0.3731
0.8134 0.8134 0.6269
0.0000 0.5000 0.0000
0.5000 0.0000 0.0000


Pu3ThPa2N6 | the Alexandria database | GGA-PBE | relaxed; energy relative to the elements, uncorrected = -1.45 eV per atom; raw total energy = -136.7 eV per formula unit
1.0
6.1251 -0.0005 0.0006
-3.0615 5.3051 0.0006
-1.0214 -1.7685 5.7349
Pu Th Pa N
3 1 2 6
Direct
0.1653 0.8347 0.5000
0.8347 0.1653 0.5000
0.5000 0.5000 0.5000
0.0000 0.0000 0.0000
0.3330 0.6670 0.0000
0.6670 0.3330 0.0000
0.9181 0.5709 0.7553
0.7327 0.7327 0.2420
0.0819 0.4291 0.2447
0.5709 0.9181 0.7553
0.2673 0.2673 0.7580
0.4291 0.0819 0.2447


PuTh2PaN4 | the Alexandria database | GGA-PBE | relaxed; energy relative to the elements, uncorrected = -1.51 eV per atom; raw total energy = -84.0 eV per formula unit
1.0
3.5785 0.0000 0.0000
0.0000 6.1854 0.1022
0.0000 -2.1677 5.8203
Pu Th Pa N
1 2 1 4
Direct
0.0000 0.0000 0.0000
0.5000 0.0000 0.5000
0.0000 0.5000 0.5000
0.5000 0.5000 0.0000
0.5000 0.2527 0.2320
0.5000 0.7473 0.7680
0.0000 0.2664 0.7719
0.0000 0.7336 0.2281


Pu2Th3PaN6 | the Alexandria database | GGA-PBE | relaxed; energy relative to the elements, uncorrected = -1.47 eV per atom; raw total energy = -128.1 eV per formula unit
1.0
-4.8449 -0.2626 -3.8432
5.7556 0.0494 -2.2767
-0.1641 -5.7817 2.2616
Pu Th Pa N
2 3 1 6
Direct
0.3334 0.6666 0.0000
0.6666 0.3334 0.0000
0.1684 0.8316 0.5000
0.8316 0.1684 0.5000
0.5000 0.5000 0.5000
0.0000 0.0000 0.0000
0.9226 0.5982 0.7678
0.7542 0.7542 0.2341
0.0774 0.4018 0.2322
0.5982 0.9226 0.7678
0.2458 0.2458 0.7659
0.4018 0.0774 0.2322


PuThPa2N4 | the Alexandria database | GGA-PBE | relaxed; energy relative to the elements, uncorrected = -1.54 eV per atom; raw total energy = -86.4 eV per formula unit
1.0
3.5485 0.0000 0.0000
0.0000 6.1498 0.1035
0.0000 -2.1519 5.7388
Pu Th Pa N
1 1 2 4
Direct
0.0000 0.0000 0.0000
0.5000 0.5000 0.0000
0.5000 0.0000 0.5000
0.0000 0.5000 0.5000
0.5000 0.2540 0.2708
0.5000 0.7460 0.7292
0.0000 0.2403 0.7259
0.0000 0.7597 0.2741


PuThPa2N6 | the Alexandria database | GGA-PBE | relaxed; energy relative to the elements, uncorrected = -1.44 eV per atom; raw total energy = -105.1 eV per formula unit
1.0
-0.4115 -5.5950 2.2868
3.9610 -1.8588 4.1902
-1.8070 -0.8049 5.7308
Pu Th Pa N
1 1 2 6
Direct
0.3041 0.3041 0.0878
0.7926 0.7925 0.6223
0.5258 0.5258 0.4225
0.0220 0.0220 0.9341
0.6392 0.2167 0.2381
0.2167 0.9061 0.2381
0.9061 0.6392 0.2381
0.3930 0.7090 0.7447
0.7090 0.1533 0.7448
0.1533 0.3930 0.7448


Pu2ThPaN4 | the Alexandria database | GGA-PBE | relaxed; energy relative to the elements, uncorrected = -1.43 eV per atom; raw total energy = -90.3 eV per formula unit
1.0
3.5466 0.0000 0.0000
0.0000 6.1589 0.1107
0.0000 -2.1466 5.7145
Pu Th Pa N
2 1 1 4
Direct
0.5000 0.0000 0.5000
0.0000 0.5000 0.5000
0.5000 0.5000 0.0000
0.0000 0.0000 0.0000
0.5000 0.2327 0.2419
0.5000 0.7673 0.7581
0.0000 0.2337 0.7477
0.0000 0.7663 0.2523


PuPa2TiN6 | the Alexandria database | GGA-PBE | relaxed; energy relative to the elements, uncorrected = -1.34 eV per atom; raw total energy = -104.5 eV per formula unit
1.0
-4.7536 -1.6854 -2.8020
-4.5699 -1.9079 2.9604
-4.8313 3.2842 0.2809
Pu Pa Ti N
1 2 1 6
Direct
0.8054 0.8054 0.5838
0.5289 0.5289 0.4133
0.0297 0.0297 0.9108
0.3081 0.3081 0.0758
0.5970 0.1946 0.2515
0.1946 0.9569 0.2515
0.9569 0.5970 0.2515
0.4226 0.6884 0.7590
0.6884 0.1301 0.7590
0.1301 0.4226 0.7590


Pu2PaTiN4 | the Alexandria database | GGA-PBE | relaxed; energy relative to the elements, uncorrected = -1.41 eV per atom; raw total energy = -90.6 eV per formula unit
1.0
3.3723 0.0000 0.0000
0.0000 5.8251 0.1511
0.0000 -1.9857 5.4802
Pu Pa Ti N
2 1 1 4
Direct
0.5000 0.0000 0.5000
0.0000 0.5000 0.5000
0.5000 0.5000 0.0000
0.0000 0.0000 0.0000
0.5000 0.2265 0.2235
0.5000 0.7735 0.7765
0.0000 0.2339 0.7703
0.0000 0.7661 0.2297


TmPu2PaN4 | the Alexandria database | GGA-PBE | relaxed; energy relative to the elements, uncorrected = -1.50 eV per atom; raw total energy = -87.9 eV per formula unit
1.0
3.4888 0.0000 0.0000
0.0000 6.0070 0.1054
0.0000 -2.0964 5.6400
Tm Pu Pa N
1 2 1 4
Direct
0.5000 0.5000 0.0000
0.5000 0.0000 0.5000
0.0000 0.5000 0.5000
0.0000 0.0000 0.0000
0.5000 0.2446 0.2357
0.5000 0.7554 0.7643
0.0000 0.2484 0.7600
0.0000 0.7516 0.2400